Record 1
A plane-wave DFT calculation with PBE was carried out for a geometry-optimized CuIrPt14 structure.

Cell: 9.227 5.567 5.567 Å, 60.10 90.00 90.00°
Sites, in units of the cell vectors:
Cu  0.000  0.000  0.000
Ir  0.000  0.499  0.499
Pt  0.000  0.002  0.502
Pt  0.000  0.502  0.002
Pt  0.242  0.330  0.832
Pt  0.242  0.832  0.330
Pt  0.247  0.333  0.333
Pt  0.247  0.833  0.833
Pt  0.500  0.163  0.664
Pt  0.500  0.164  0.164
Pt  0.500  0.663  0.663
Pt  0.500  0.664  0.163
Pt  0.753  0.333  0.333
Pt  0.753  0.833  0.833
Pt  0.758  0.330  0.832
Pt  0.758  0.832  0.330

Calculated values
- Density: 20.006 g/cm³
- Formation enthalpy at 0 K: 13 meV/atom
- N(E_F): 1.717 states/eV per atom

=====

Record 2
A plane-wave DFT calculation with PBE was carried out for a geometry-optimized Cu2IrPt2 structure.

Cell: 7.234 7.234 2.792 Å, 90.00 90.00 90.00°
Sites, in units of the cell vectors:
Cu  0.163  0.337  0.000
Cu  0.337  0.837  0.000
Cu  0.663  0.163  0.000
Cu  0.837  0.663  0.000
Ir  0.000  0.000  0.500
Ir  0.500  0.500  0.500
Pt  0.136  0.636  0.500
Pt  0.364  0.136  0.500
Pt  0.636  0.864  0.500
Pt  0.864  0.364  0.500

Calculated values
- Density: 16.129 g/cm³
- Formation enthalpy at 0 K: 250 meV/atom
- N(E_F): 1.169 states/eV per atom
- Energy above the most stable polymorph in this dataset: 22 kJ/mol of formula units

=====

Record 3
A plane-wave DFT calculation with PBE was carried out for a geometry-optimized CuIr3Pt structure.

Cell: 4.439 4.439 4.439 Å, 90.00 90.00 90.00°
Sites, in units of the cell vectors:
Cu  0.000  0.000  0.000
Ir  0.000  0.000  0.500
Ir  0.000  0.500  0.000
Ir  0.500  0.000  0.000
Pt  0.500  0.500  0.500

Calculated values
- Density: 15.860 g/cm³
- Formation enthalpy at 0 K: 1703 meV/atom
- N(E_F): 1.783 states/eV per atom
- Energy above the most stable polymorph in this dataset: 0 kJ/mol of formula units

=====

Record 4
A plane-wave DFT calculation with PBE was carried out for a geometry-optimized Cu3IrPt structure.

Cell: 4.561 4.561 4.561 Å, 90.00 90.00 90.00°
Sites, in units of the cell vectors:
Cu  0.000  0.000  0.500
Cu  0.000  0.500  0.000
Cu  0.500  0.000  0.000
Ir  0.000  0.000  0.000
Pt  0.500  0.500  0.500

Calculated values
- Density: 10.118 g/cm³
- Formation enthalpy at 0 K: 1357 meV/atom
- N(E_F): 1.313 states/eV per atom
- Energy above the most stable polymorph in this dataset: 0 kJ/mol of formula units

=====

Record 5
A plane-wave DFT calculation with PBE was carried out for a geometry-optimized CuIrPt4 structure.

Cell: 5.202 5.202 5.202 Å, 60.00 60.00 60.00°
Sites, in units of the cell vectors:
Cu  0.000  0.000  0.000
Ir  0.750  0.750  0.750
Pt  0.375  0.375  0.375
Pt  0.375  0.375  0.875
Pt  0.375  0.875  0.375
Pt  0.875  0.375  0.375

Calculated values
- Density: 17.286 g/cm³
- Formation enthalpy at 0 K: 463 meV/atom
- N(E_F): 1.512 states/eV per atom
- Energy above the most stable polymorph in this dataset: 152 kJ/mol of formula units

=====

Record 6
A plane-wave DFT calculation with PBE was carried out for a geometry-optimized Cu2IrPt4 structure.

Cell: 6.566 6.566 6.566 Å, 109.33 109.33 109.76°
Sites, in units of the cell vectors:
Cu  0.003  0.125  0.378
Cu  0.375  0.997  0.122
Cu  0.747  0.625  0.622
Cu  0.875  0.253  0.878
Ir  0.250  0.750  0.500
Ir  0.500  0.500  0.000
Pt  0.119  0.538  0.748
Pt  0.121  0.040  0.752
Pt  0.288  0.369  0.248
Pt  0.462  0.210  0.581
Pt  0.629  0.881  0.419
Pt  0.631  0.879  0.919
Pt  0.790  0.371  0.252
Pt  0.960  0.712  0.081

Calculated values
- Density: 16.756 g/cm³
- Formation enthalpy at 0 K: 254 meV/atom
- N(E_F): 1.532 states/eV per atom

=====

Record 7
A plane-wave DFT calculation with PBE was carried out for a geometry-optimized CuIrPt6 structure.

Cell: 8.431 8.431 8.431 Å, 153.25 153.25 38.19°
Sites, in units of the cell vectors:
Cu  0.000  0.000  0.000
Ir  0.500  0.500  0.000
Pt  0.119  0.619  0.500
Pt  0.252  0.252  0.000
Pt  0.381  0.881  0.500
Pt  0.619  0.119  0.500
Pt  0.748  0.748  0.000
Pt  0.881  0.381  0.500

Calculated values
- Density: 19.535 g/cm³
- Formation enthalpy at 0 K: -17 meV/atom
- N(E_F): 1.353 states/eV per atom

=====

Record 8
A plane-wave DFT calculation with PBE was carried out for a geometry-optimized Pu4CuIrPt2 structure.

Cell: 8.490 8.490 8.490 Å, 33.99 33.99 33.99°
Sites, in units of the cell vectors:
Pu  0.119  0.119  0.119
Pu  0.370  0.370  0.370
Pu  0.630  0.630  0.630
Pu  0.881  0.881  0.881
Cu  0.500  0.500  0.500
Ir  0.000  0.000  0.000
Pt  0.242  0.242  0.242
Pt  0.758  0.758  0.758

Calculated values
- Density: 15.794 g/cm³
- Formation enthalpy at 0 K: -465 meV/atom
- N(E_F): 4.021 states/eV per atom

=====

The calculated total energy results, record by record, are as follows: -6.083 -5.577 -5.641 -4.082 -5.724 -5.634 -6.167 -10.761 eV per atom.